# PrSm2RuO8, relaxed, DFT PBE
# * formation energy from raw total energies: -2287 meV per atom
# * SG: No. 10
# * VASP energy: -7.55 eV per atom
data_PrSm2RuO8
_cell_length_a 5.172
_cell_length_b 5.163
_cell_length_c 6.985
_cell_angle_alpha 90.01
_cell_angle_beta 90.01
_cell_angle_gamma 89.63
_symmetry_space_group_name_H-M 'P 1'
_symmetry_Int_Tables_number 1
loop_
_symmetry_equiv_pos_as_xyz
'x,y,z'
loop_
_atom_site_label
_atom_site_type_symbol
_atom_site_fract_x
_atom_site_fract_y
_atom_site_fract_z
Sm1 Sm 0.500 0.500 0.751
Pr1 Pr 0.000 0.000 0.500
Ru1 Ru 0.000 0.000 0.000
O1 O 0.742 0.743 0.000
O2 O 0.315 0.313 0.500
Sm2 Sm 0.500 0.500 0.249
O3 O 0.181 0.817 0.798
O4 O 0.818 0.183 0.798
O5 O 0.685 0.687 0.500
O6 O 0.182 0.817 0.202
O7 O 0.819 0.183 0.202
O8 O 0.258 0.257 0.000